1.
# Tb2Nd8Zn

Crystalline Tb2Nd8Zn at its relaxed geometry (PBE, Alexandria via LeMat-Bulk).

CIF file:
```
data_Tb2Nd8Zn
_chemical_formula_sum 'Tb4 Nd16 Zn2'
_symmetry_space_group_name_H-M 'C 1 2/m 1'
_symmetry_Int_Tables_number 12
_cell_length_a 19.4335
_cell_length_b 5.6956
_cell_length_c 6.5623
_cell_angle_alpha 90.00
_cell_angle_beta 93.10
_cell_angle_gamma 90.00
loop_
_symmetry_equiv_pos_as_xyz
'x,y,z'
'-x,-y,-z'
'-x,y,-z'
'x,-y,z'
'x+1/2,y+1/2,z'
'-x+1/2,-y+1/2,-z'
'-x+1/2,y+1/2,-z'
'x+1/2,-y+1/2,z'
loop_
_atom_site_label
_atom_site_type_symbol
_atom_site_fract_x
_atom_site_fract_y
_atom_site_fract_z
Tb1 Tb 0.2371 0.0000 0.3342
Nd1 Nd 0.0398 0.0000 0.2512
Nd2 Nd 0.0796 0.5000 0.6073
Nd3 Nd 0.1557 0.5000 0.1197
Nd4 Nd 0.1567 0.0000 0.8078
Zn1 Zn 0.0000 0.5000 0.0000
```

Properties
- DOS(E_F) (states/eV/atom) = 1.1974
- formation energy (meV/atom) = -15
- calculated density (Mg/m³) = 7.0
- size of the total moment (Bohr magnetons per cell) = 0.00



2.
# Sc2InMo

Crystalline Sc2InMo at its relaxed geometry (PBE, Alexandria via LeMat-Bulk).

CIF file:
```
data_Sc2InMo
_chemical_formula_sum 'Sc4 In2 Mo2'
_symmetry_space_group_name_H-M 'C 1 m 1'
_symmetry_Int_Tables_number 8
_cell_length_a 10.3437
_cell_length_b 3.0431
_cell_length_c 5.2765
_cell_angle_alpha 90.00
_cell_angle_beta 99.71
_cell_angle_gamma 90.00
loop_
_symmetry_equiv_pos_as_xyz
'x,y,z'
'x,-y,z'
'x+1/2,y+1/2,z'
'x+1/2,-y+1/2,z'
loop_
_atom_site_label
_atom_site_type_symbol
_atom_site_fract_x
_atom_site_fract_y
_atom_site_fract_z
Sc1 Sc 0.0000 0.0000 0.0000
Sc2 Sc 0.2234 0.0000 0.7025
In1 In 0.2506 0.5000 0.2238
Mo1 Mo 0.4806 0.0000 0.4919
```

Properties
- DOS(E_F) (states/eV/atom) = 1.1623
- formation energy (meV/atom) = 23
- calculated density (Mg/m³) = 6.1
- size of the total moment (Bohr magnetons per cell) = 0.00



3.
# Ca4LaDy3Te8

Crystalline Ca4LaDy3Te8 at its relaxed geometry (PBE, Alexandria via LeMat-Bulk).

CIF file:
```
data_Ca4LaDy3Te8
_chemical_formula_sum 'Ca12 La3 Dy9 Te24'
_symmetry_space_group_name_H-M 'R -3 m'
_symmetry_Int_Tables_number 166
_symmetry_space_group_name_Hall '-R 3 2"'
_cell_length_a 8.8473
_cell_length_b 8.8473
_cell_length_c 22.1334
_cell_angle_alpha 90.00
_cell_angle_beta 90.00
_cell_angle_gamma 120.00
loop_
_atom_site_label
_atom_site_type_symbol
_atom_site_fract_x
_atom_site_fract_y
_atom_site_fract_z
Ca1 Ca 0.0000 0.0000 0.0000
Ca2 Ca 0.0000 0.5000 0.0000
La1 La 0.0000 0.0000 0.5000
Dy1 Dy 0.0000 0.5000 0.5000
Te1 Te 0.0000 0.0000 0.2480
Te2 Te 0.0082 0.5041 0.7500
```

Properties
- DOS(E_F) (states/eV/atom) = 0.3973
- raw total energy (eV per atom) = -4.723
- calculated density (Mg/m³) = 6.0
- size of the total moment (Bohr magnetons per cell) = 0.00



4.
# FeH4Rh5

Crystalline FeH4Rh5 at its relaxed geometry (PBE, Alexandria via LeMat-Bulk).

CIF file:
```
data_FeH4Rh5
_chemical_formula_sum 'Fe2 H8 Rh10'
_symmetry_space_group_name_H-M 'C 1 2/m 1'
_symmetry_Int_Tables_number 12
_cell_length_a 12.1020
_cell_length_b 2.8051
_cell_length_c 5.6144
_cell_angle_alpha 90.00
_cell_angle_beta 103.49
_cell_angle_gamma 90.00
loop_
_symmetry_equiv_pos_as_xyz
'x,y,z'
'-x,-y,-z'
'-x,y,-z'
'x,-y,z'
'x+1/2,y+1/2,z'
'-x+1/2,-y+1/2,-z'
'-x+1/2,y+1/2,-z'
'x+1/2,-y+1/2,z'
loop_
_atom_site_label
_atom_site_type_symbol
_atom_site_fract_x
_atom_site_fract_y
_atom_site_fract_z
Fe1 Fe 0.0000 0.0000 0.0000
H1 H 0.0040 0.5000 0.2543
H2 H 0.1702 0.0000 0.0946
Rh1 Rh 0.0000 0.0000 0.5000
Rh2 Rh 0.1635 0.5000 0.8309
Rh3 Rh 0.1650 0.5000 0.3347
```

Properties
- DOS(E_F) (states/eV/atom) = 0.9159
- raw total energy (eV per atom) = -5.847
- calculated density (Mg/m³) = 10.3
- size of the total moment (Bohr magnetons per cell) = 9.11



What is the formula in the third record? Ca4LaDy3Te8



Please write out number 2 again, unchanged.
# Sc2InMo

Crystalline Sc2InMo at its relaxed geometry (PBE, Alexandria via LeMat-Bulk).

CIF file:
```
data_Sc2InMo
_chemical_formula_sum 'Sc4 In2 Mo2'
_symmetry_space_group_name_H-M 'C 1 m 1'
_symmetry_Int_Tables_number 8
_cell_length_a 10.3437
_cell_length_b 3.0431
_cell_length_c 5.2765
_cell_angle_alpha 90.00
_cell_angle_beta 99.71
_cell_angle_gamma 90.00
loop_
_symmetry_equiv_pos_as_xyz
'x,y,z'
'x,-y,z'
'x+1/2,y+1/2,z'
'x+1/2,-y+1/2,z'
loop_
_atom_site_label
_atom_site_type_symbol
_atom_site_fract_x
_atom_site_fract_y
_atom_site_fract_z
Sc1 Sc 0.0000 0.0000 0.0000
Sc2 Sc 0.2234 0.0000 0.7025
In1 In 0.2506 0.5000 0.2238
Mo1 Mo 0.4806 0.0000 0.4919
```

Properties
- DOS(E_F) (states/eV/atom) = 1.1623
- formation energy (meV/atom) = 23
- calculated density (Mg/m³) = 6.1
- size of the total moment (Bohr magnetons per cell) = 0.00



Copy entry 2 word for word.
# Sc2InMo

Crystalline Sc2InMo at its relaxed geometry (PBE, Alexandria via LeMat-Bulk).

CIF file:
```
data_Sc2InMo
_chemical_formula_sum 'Sc4 In2 Mo2'
_symmetry_space_group_name_H-M 'C 1 m 1'
_symmetry_Int_Tables_number 8
_cell_length_a 10.3437
_cell_length_b 3.0431
_cell_length_c 5.2765
_cell_angle_alpha 90.00
_cell_angle_beta 99.71
_cell_angle_gamma 90.00
loop_
_symmetry_equiv_pos_as_xyz
'x,y,z'
'x,-y,z'
'x+1/2,y+1/2,z'
'x+1/2,-y+1/2,z'
loop_
_atom_site_label
_atom_site_type_symbol
_atom_site_fract_x
_atom_site_fract_y
_atom_site_fract_z
Sc1 Sc 0.0000 0.0000 0.0000
Sc2 Sc 0.2234 0.0000 0.7025
In1 In 0.2506 0.5000 0.2238
Mo1 Mo 0.4806 0.0000 0.4919
```

Properties
- DOS(E_F) (states/eV/atom) = 1.1623
- formation energy (meV/atom) = 23
- calculated density (Mg/m³) = 6.1
- size of the total moment (Bohr magnetons per cell) = 0.00



calculated density of number 1 (Tb2Nd8Zn)? 7.0 Mg/m³